Record 1
The following is a PBE calculation of CsLaSbTe2 after structural relaxation, from Alexandria via LeMat-Bulk.

Computed properties:
* symmetry: P4/mmm (123)
* E_form (uncorrected): 0.5339 eV per atom

Lattice parameters (Å, degrees): 6.129 6.129 5.994 90.00 90.00 90.00
Atoms (fractional coordinates):
Cs1 0.000 0.000 0.000
La1 0.500 0.500 0.500
Sb1 0.000 0.000 0.500
Te1 0.000 0.500 0.000
Te2 0.500 0.000 0.000


Record 2
The following is a PBE calculation of Cs2LaSc after structural relaxation, from Alexandria via LeMat-Bulk.

Computed properties:
* symmetry: Fm-3m (225)
* formation energy: 4.1 eV per formula unit

Lattice parameters (Å, degrees): 6.408 6.408 6.408 60.00 60.00 60.00
Atoms (fractional coordinates):
Cs1 0.250 0.250 0.250
Cs2 0.750 0.750 0.750
La1 0.000 0.000 0.000
Sc1 0.500 0.500 0.500


Record 3
The following is a PBE calculation of CsLaSc3 after structural relaxation, from Alexandria via LeMat-Bulk.

Computed properties:
* symmetry: Pm-3m (221)
* formation energy: 4.8 eV per formula unit

Lattice parameters (Å, degrees): 5.752 5.752 5.752 90.00 90.00 90.00
Atoms (fractional coordinates):
Cs1 0.000 0.000 0.000
La1 0.500 0.500 0.500
Sc1 0.000 0.500 0.500
Sc2 0.500 0.000 0.500
Sc3 0.500 0.500 0.000


Record 4
The following is a PBE calculation of CsLaSc3 after structural relaxation, from Alexandria via LeMat-Bulk.

Computed properties:
* symmetry: Pm-3m (221)
* formation energy: 5.4 eV per formula unit

Lattice parameters (Å, degrees): 5.428 5.428 5.428 90.00 90.00 90.00
Atoms (fractional coordinates):
Cs1 0.000 0.000 0.000
La1 0.500 0.500 0.500
Sc1 0.000 0.000 0.500
Sc2 0.000 0.500 0.000
Sc3 0.500 0.000 0.000


Record 5
The following is a PBE calculation of CsLaScSe3 after structural relaxation, from Alexandria via LeMat-Bulk.

Computed properties:
* symmetry: P2_1/m (11)
* E_form (uncorrected): -1.6400 eV per atom

Lattice parameters (Å, degrees): 9.843 4.561 10.594 90.00 107.98 90.00
Atoms (fractional coordinates):
Cs1 0.205 0.250 0.224
Cs2 0.795 0.750 0.776
La1 0.337 0.750 0.858
La2 0.663 0.250 0.142
Sc1 0.087 0.250 0.604
Sc2 0.913 0.750 0.396
Se1 0.124 0.250 0.856
Se2 0.188 0.750 0.546
Se3 0.465 0.750 0.152
Se4 0.535 0.250 0.848
Se5 0.812 0.250 0.454
Se6 0.876 0.750 0.144


Record 6
The following is a PBE calculation of Cs4La3ScSe8 after structural relaxation, from Alexandria via LeMat-Bulk.

Computed properties:
* symmetry: R-3m (166)
* E_form (uncorrected): -1.7314 eV per atom

Lattice parameters (Å, degrees): 9.789 9.789 9.789 53.38 53.38 53.38
Atoms (fractional coordinates):
Cs1 0.000 0.000 0.000
Cs2 0.000 0.500 0.500
Cs3 0.500 0.000 0.500
Cs4 0.500 0.500 0.000
La1 0.000 0.000 0.500
La2 0.000 0.500 0.000
La3 0.500 0.000 0.000
Sc1 0.500 0.500 0.500
Se1 0.231 0.231 0.231
Se2 0.249 0.718 0.718
Se3 0.282 0.282 0.751
Se4 0.282 0.751 0.282
Se5 0.718 0.249 0.718
Se6 0.718 0.718 0.249
Se7 0.751 0.282 0.282
Se8 0.769 0.769 0.769


Record 7
The following is a PBE calculation of Cs2LaScSe4 after structural relaxation, from Alexandria via LeMat-Bulk.

Computed properties:
* symmetry: P2/m (10)
* E_form (uncorrected): -1.6625 eV per atom

Lattice parameters (Å, degrees): 7.428 4.293 8.704 90.00 106.44 90.00
Atoms (fractional coordinates):
Cs1 0.000 0.000 0.000
Cs2 0.500 0.500 0.000
La1 0.000 0.500 0.500
Sc1 0.500 0.000 0.500
Se1 0.251 0.000 0.687
Se2 0.293 0.500 0.320
Se3 0.707 0.500 0.680
Se4 0.749 0.000 0.313


Record 8
The following is a PBE calculation of Cs3La2ScSe6 after structural relaxation, from Alexandria via LeMat-Bulk.

Computed properties:
* symmetry: C2/m (12)
* E_form (uncorrected): -1.7135 eV per atom

Lattice parameters (Å, degrees): 7.550 7.550 8.730 98.31 98.31 119.98
Atoms (fractional coordinates):
Cs1 0.000 0.000 0.000
Cs2 0.330 0.670 0.000
Cs3 0.670 0.330 0.000
La1 0.166 0.834 0.500
La2 0.834 0.166 0.500
Sc1 0.500 0.500 0.500
Se1 0.127 0.438 0.315
Se2 0.252 0.252 0.687
Se3 0.438 0.127 0.315
Se4 0.562 0.873 0.685
Se5 0.748 0.748 0.313
Se6 0.873 0.562 0.685


Record 9
The following is a PBE calculation of CsLaSc2Sn after structural relaxation, from Alexandria via LeMat-Bulk.

Computed properties:
* symmetry: P4/mmm (123)
* formation energy: 5.3 eV per formula unit

Lattice parameters (Å, degrees): 5.267 5.267 6.161 90.00 90.00 90.00
Atoms (fractional coordinates):
Cs1 0.000 0.000 0.000
La1 0.500 0.500 0.500
Sc1 0.000 0.500 0.000
Sc2 0.500 0.000 0.000
Sn1 0.000 0.000 0.500


Record 10
The following is a PBE calculation of Cs3La3ScTe8 after structural relaxation, from Alexandria via LeMat-Bulk.

Computed properties:
* symmetry: C2/m (12)
* E_form (uncorrected): -1.3455 eV per atom

Lattice parameters (Å, degrees): 9.215 9.215 10.601 115.83 115.83 59.94
Atoms (fractional coordinates):
Cs1 0.000 0.000 0.000
Cs2 0.000 0.500 0.000
Cs3 0.500 0.000 0.000
La1 0.000 0.500 0.500
La2 0.500 0.000 0.500
La3 0.500 0.500 0.500
Sc1 0.000 0.000 0.500
Te1 0.217 0.217 0.685
Te2 0.217 0.752 0.685
Te3 0.248 0.783 0.315
Te4 0.267 0.267 0.301
Te5 0.733 0.733 0.699
Te6 0.752 0.217 0.685
Te7 0.783 0.248 0.315
Te8 0.783 0.783 0.315


Record 11
The following is a PBE calculation of CsLaScTe3 after structural relaxation, from Alexandria via LeMat-Bulk.

Computed properties:
* symmetry: P2_1/m (11)
* E_form (uncorrected): -1.2998 eV per atom

Lattice parameters (Å, degrees): 10.398 4.811 11.167 90.00 108.80 90.00
Atoms (fractional coordinates):
Cs1 0.209 0.250 0.234
Cs2 0.791 0.750 0.766
La1 0.334 0.750 0.862
La2 0.666 0.250 0.138
Sc1 0.086 0.250 0.603
Sc2 0.914 0.750 0.397
Te1 0.117 0.250 0.862
Te2 0.199 0.750 0.544
Te3 0.468 0.750 0.162
Te4 0.532 0.250 0.838
Te5 0.801 0.250 0.456
Te6 0.883 0.750 0.138


Record 12
The following is a PBE calculation of CsLaSe after structural relaxation, from Alexandria via LeMat-Bulk.

Computed properties:
* symmetry: Cm (8)
* E_form (uncorrected): -0.8760 eV per atom

Lattice parameters (Å, degrees): 7.033 7.033 10.791 123.79 123.79 34.71
Atoms (fractional coordinates):
Cs1 0.000 0.000 0.000
Cs2 0.661 0.661 0.821
La1 0.336 0.336 0.394
La2 0.624 0.624 0.431
Se1 0.311 0.311 0.658
Se2 0.364 0.364 0.146


| no. | energy (eV per atom) |
| --- | --- |
| 1 | -2.703 |
| 2 | -2.222 |
| 3 | -3.999 |
| 4 | -3.880 |
| 5 | -5.401 |
| 6 | -5.007 |
| 7 | -5.025 |
| 8 | -5.018 |
| 9 | -3.423 |
| 10 | -4.599 |
| 11 | -4.889 |
| 12 | -3.964 |